(1)
# TbInAs2Rh5 (PBE, optimized geometry)
data_TbInAs2Rh5
_symmetry_space_group_name_H-M 'P 4/m m m'
_symmetry_Int_Tables_number 123
_symmetry_space_group_name_Hall '-P 4 2'
_cell_length_a 4.066
_cell_length_b 4.066
_cell_length_c 10.805
_cell_angle_alpha 90.00
_cell_angle_beta 90.00
_cell_angle_gamma 90.00
loop_
_atom_site_label
_atom_site_type_symbol
_atom_site_fract_x
_atom_site_fract_y
_atom_site_fract_z
Tb1 Tb 0.000 0.000 0.000
In1 In 0.000 0.000 0.500
As1 As 0.500 0.500 0.219
Rh1 Rh 0.000 0.500 0.333
Rh2 Rh 0.500 0.500 0.000
# E_form: -408 meV per atom
# Final energy: -6.344 eV per atom


(2)
# CaTlB (PBE, optimized geometry)
data_CaTlB
_symmetry_space_group_name_H-M 'C 1 2/m 1'
_symmetry_Int_Tables_number 12
_cell_length_a 13.742
_cell_length_b 3.971
_cell_length_c 5.952
_cell_angle_alpha 90.00
_cell_angle_beta 114.17
_cell_angle_gamma 90.00
loop_
_symmetry_equiv_pos_as_xyz
'x,y,z'
'-x,-y,-z'
'-x,y,-z'
'x,-y,z'
'x+1/2,y+1/2,z'
'-x+1/2,-y+1/2,-z'
'-x+1/2,y+1/2,-z'
'x+1/2,-y+1/2,z'
loop_
_atom_site_label
_atom_site_type_symbol
_atom_site_fract_x
_atom_site_fract_y
_atom_site_fract_z
Ca1 Ca 0.120 0.000 0.468
Tl1 Tl 0.153 0.500 0.040
B1 B 0.031 0.500 0.639
# E_form: 65 meV per atom
# Final energy: -3.617 eV per atom


(3)
# ZrS2Br (PBE, optimized geometry)
data_ZrS2Br
_symmetry_space_group_name_H-M 'F m -3 m'
_symmetry_Int_Tables_number 225
_symmetry_space_group_name_Hall '-F 4 2 3'
_cell_length_a 6.703
_cell_length_b 6.703
_cell_length_c 6.703
_cell_angle_alpha 90.00
_cell_angle_beta 90.00
_cell_angle_gamma 90.00
loop_
_atom_site_label
_atom_site_type_symbol
_atom_site_fract_x
_atom_site_fract_y
_atom_site_fract_z
Zr1 Zr 0.000 0.000 0.000
S1 S 0.250 0.250 0.250
Br1 Br 0.000 0.000 0.500
# Energy relative to the lowest polymorph listed for this composition: 322.9 kJ/mol of formula units
# Formation energy from raw total energies: -0.31 eV/atom
# Final energy: -4.930 eV per atom


(4)
# Na2CdC (PBE, optimized geometry)
data_Na2CdC
_symmetry_space_group_name_H-M 'F m -3 m'
_symmetry_Int_Tables_number 225
_symmetry_space_group_name_Hall '-F 4 2 3'
_cell_length_a 6.720
_cell_length_b 6.720
_cell_length_c 6.720
_cell_angle_alpha 90.00
_cell_angle_beta 90.00
_cell_angle_gamma 90.00
loop_
_atom_site_label
_atom_site_type_symbol
_atom_site_fract_x
_atom_site_fract_y
_atom_site_fract_z
Na1 Na 0.250 0.250 0.250
Cd1 Cd 0.000 0.000 0.000
C1 C 0.000 0.000 0.500
# Energy relative to the lowest polymorph listed for this composition: 174.3 kJ/mol of formula units
# E_form: 1157 meV per atom
# Final energy: -2.037 eV per atom


(5)
# LaPmTmCu (PBE, optimized geometry)
data_LaPmTmCu
_symmetry_space_group_name_H-M 'P 4 m m'
_symmetry_Int_Tables_number 99
_cell_length_a 3.559
_cell_length_b 3.559
_cell_length_c 8.820
_cell_angle_alpha 90.00
_cell_angle_beta 90.00
_cell_angle_gamma 90.00
loop_
_symmetry_equiv_pos_as_xyz
'x,y,z'
'-y,x,z'
'-x,-y,z'
'y,-x,z'
'-x,y,z'
'y,x,z'
'x,-y,z'
'-y,-x,z'
loop_
_atom_site_label
_atom_site_type_symbol
_atom_site_fract_x
_atom_site_fract_y
_atom_site_fract_z
La1 La 0.000 0.000 0.000
Pm1 Pm 0.500 0.500 0.684
Tm1 Tm 0.500 0.500 0.305
Cu1 Cu 0.000 0.000 0.476
# E_form: -86 meV per atom
# Final energy: -4.648 eV per atom


(6)
# Mn2SbAu (PBE, optimized geometry)
data_Mn2SbAu
_symmetry_space_group_name_H-M 'P 4/m m m'
_symmetry_Int_Tables_number 123
_symmetry_space_group_name_Hall '-P 4 2'
_cell_length_a 4.218
_cell_length_b 4.218
_cell_length_c 3.927
_cell_angle_alpha 90.00
_cell_angle_beta 90.00
_cell_angle_gamma 90.00
loop_
_atom_site_label
_atom_site_type_symbol
_atom_site_fract_x
_atom_site_fract_y
_atom_site_fract_z
Mn1 Mn 0.000 0.500 0.000
Sb1 Sb 0.000 0.000 0.500
Au1 Au 0.500 0.500 0.500
# Formation energy from raw total energies: 0.12 eV/atom
# Final energy: -6.310 eV per atom


(7)
# Ac3La8Dy (PBE, optimized geometry)
data_Ac3La8Dy
_symmetry_space_group_name_H-M 'I m m m'
_symmetry_Int_Tables_number 71
_symmetry_space_group_name_Hall '-I 2 2'
_cell_length_a 6.894
_cell_length_b 11.842
_cell_length_c 11.898
_cell_angle_alpha 90.00
_cell_angle_beta 90.00
_cell_angle_gamma 90.00
loop_
_atom_site_label
_atom_site_type_symbol
_atom_site_fract_x
_atom_site_fract_y
_atom_site_fract_z
Ac1 Ac 0.000 0.000 0.000
Ac2 Ac 0.000 0.243 0.500
La1 La 0.000 0.255 0.172
La2 La 0.222 0.000 0.276
Dy1 Dy 0.000 0.500 0.000
# E_form: 211 meV per atom
# Final energy: -4.484 eV per atom


(8)
# Tb4Sm3Mg2 (PBE, optimized geometry)
data_Tb4Sm3Mg2
_symmetry_space_group_name_H-M 'C 1 2/m 1'
_symmetry_Int_Tables_number 12
_cell_length_a 14.953
_cell_length_b 4.970
_cell_length_c 7.893
_cell_angle_alpha 90.00
_cell_angle_beta 108.66
_cell_angle_gamma 90.00
loop_
_symmetry_equiv_pos_as_xyz
'x,y,z'
'-x,-y,-z'
'-x,y,-z'
'x,-y,z'
'x+1/2,y+1/2,z'
'-x+1/2,-y+1/2,-z'
'-x+1/2,y+1/2,-z'
'x+1/2,-y+1/2,z'
loop_
_atom_site_label
_atom_site_type_symbol
_atom_site_fract_x
_atom_site_fract_y
_atom_site_fract_z
Tb1 Tb 0.056 0.000 0.333
Tb2 Tb 0.222 0.500 0.329
Sm1 Sm 0.000 0.500 0.000
Sm2 Sm 0.112 0.500 0.666
Mg1 Mg 0.169 0.000 0.999
# E_form: 8 meV per atom
# Final energy: -3.977 eV per atom